[1]
Compound: GeAu3O
Source: the Alexandria database
Functional: PBE
Structure: optimized geometry

Computed properties:
Total magnetization ... 0.0 μB per cell
E_form (uncorrected) ... 0.46 eV/atom
Crystal system ... cubic
ΔE to the lowest computed polymorph ... 0.00 kcal/mol of atoms

Cell: 4.5255 4.5255 4.5255 Å, 90.00 90.00 90.00°
Atoms (fractional coordinates):
Au 0.5000 0.0000 0.0000
O 0.0000 0.0000 0.0000
Au 0.0000 0.5000 0.0000
Ge 0.5000 0.5000 0.5000
Au 0.0000 0.0000 0.5000



[2]
Compound: MgIn3Bi
Source: the Alexandria database
Functional: PBE
Structure: optimized geometry

Computed properties:
Formation enthalpy at 0 K ... 0.348 eV/atom
Total magnetization ... 0.0 μB per cell
Crystal system ... cubic
ΔE to the lowest computed polymorph ... 8.34 kcal/mol of atoms

Cell: 5.4415 5.4415 5.4415 Å, 90.00 90.00 90.00°
Atoms (fractional coordinates):
In 0.5000 0.0000 0.0000
Bi 0.5000 0.5000 0.5000
Mg 0.0000 0.0000 0.0000
In 0.0000 0.0000 0.5000
In 0.0000 0.5000 0.0000



[3]
Compound: CrTcSb2I
Source: the Alexandria database
Functional: PBE
Structure: optimized geometry

Computed properties:
Total magnetization ... 5.1 μB per cell
E_form (uncorrected) ... 0.81 eV/atom
Crystal system ... tetragonal
ΔE to the lowest computed polymorph ... 0.00 kcal/mol of atoms

Cell: 5.0552 5.0552 5.9342 Å, 90.00 90.00 90.00°
Each line ends with the local moment (μB).
Atoms (fractional coordinates):
Tc 0.0000 0.0000 0.0000  0.21
Cr 0.5000 0.5000 0.5000  4.28
Sb 0.0000 0.5000 0.0000  -0.05
I 0.0000 0.0000 0.5000  -0.02
Sb 0.5000 0.0000 0.0000  -0.05



[4]
Compound: CaRuPt2
Source: the Alexandria database
Functional: PBE
Structure: optimized geometry

Computed properties:
Formation enthalpy at 0 K ... -0.221 eV/atom
Total magnetization ... 0.4 μB per cell
Crystal system ... tetragonal
ΔE to the lowest computed polymorph ... 0.89 kcal/mol of atoms

Cell: 4.8902 4.8902 2.8495 Å, 90.00 90.00 90.00°
Each line ends with the local moment (μB).
Atoms (fractional coordinates):
Pt 0.5000 0.5000 0.0000  0.03
Ca 0.0000 0.5000 0.5000  -0.01
Pt 0.0000 0.0000 0.0000  0.03
Ru 0.5000 0.0000 0.5000  0.36



[5]
Compound: Pm3Ho6TmTh2
Source: the Alexandria database
Functional: PBE
Structure: optimized geometry

Computed properties:
Formation enthalpy at 0 K ... 0.017 eV/atom
Total magnetization ... 0.0 μB per cell
Crystal system ... monoclinic

Cell: 6.1739 6.1739 11.7612 Å, 95.03 95.03 119.97°
Atoms (fractional coordinates):
Ho 0.2550 0.2550 0.7543
Th 0.3334 0.6666 0.0000
Ho 0.0817 0.4183 0.2453
Ho 0.4183 0.0817 0.2453
Th 0.6666 0.3334 0.0000
Ho 0.5817 0.9183 0.7547
Pm 0.8336 0.1664 0.5000
Ho 0.7450 0.7450 0.2457
Pm 0.1664 0.8336 0.5000
Tm 0.0000 0.0000 0.0000
Pm 0.5000 0.5000 0.5000
Ho 0.9183 0.5817 0.7547



[6]
Compound: RbZrSbPb2
Source: the Alexandria database
Functional: PBE
Structure: optimized geometry

Computed properties:
Total magnetization ... 0.6 μB per cell
E_form (uncorrected) ... 0.71 eV/atom
Crystal system ... tetragonal
ΔE to the lowest computed polymorph ... 0.00 kcal/mol of atoms

Cell: 5.6916 6.1500 5.6916 Å, 90.00 90.00 90.00°
Each line ends with the local moment (μB).
Atoms (fractional coordinates):
Rb 0.0000 0.5000 0.0000  0.04
Pb 0.0000 0.0000 0.5000  0.00
Pb 0.5000 0.0000 0.0000  -0.01
Zr 0.0000 0.0000 0.0000  0.39
Sb 0.5000 0.5000 0.5000  -0.01



[7]
Compound: Cs3Te5H2
Source: the Alexandria database
Functional: PBE
Structure: optimized geometry

Computed properties:
Total magnetization ... 0.0 μB per cell
Calculated total energy ... -56.758 eV for the cell shown
Crystal system ... orthorhombic

Cell: 8.2699 12.6306 12.6306 Å, 41.29 70.89 70.89°
Atoms (fractional coordinates):
Te 0.5744 0.2569 0.5944
Te 0.0819 0.1681 0.1681
Te 0.5819 0.1681 0.1681
Te 0.2500 0.5000 0.5000
Te 0.9256 0.4056 0.7431
H 0.3301 0.1726 0.1672
Cs 0.2500 0.0000 0.0000
Te 0.9181 0.8319 0.8319
Te 0.0744 0.5944 0.2569
Cs 0.1967 0.1530 0.4536
Te 0.7500 0.5000 0.5000
Cs 0.6967 0.4536 0.1530
Cs 0.8033 0.8470 0.5464
Cs 0.3033 0.5464 0.8470
Te 0.4256 0.7431 0.4056
H 0.6699 0.8274 0.8328
Cs 0.7500 0.0000 0.0000
Te 0.4181 0.8319 0.8319
H 0.1699 0.8328 0.8274
H 0.8301 0.1672 0.1726



[8]
Compound: RbTlGeO4
Source: the Alexandria database
Functional: PBE
Structure: optimized geometry

Computed properties:
Total magnetization ... 0.1 μB per cell
E_form (uncorrected) ... -1.33 eV/atom
Crystal system ... monoclinic

Cell: 5.7857 5.9887 7.6955 Å, 90.00 107.52 90.00°
Atoms (fractional coordinates):
O 0.0441 0.5265 0.3227
Rb 0.6978 0.7500 0.9349
Rb 0.3022 0.2500 0.0651
O 0.0441 0.9735 0.3227
Ge 0.2628 0.7500 0.3449
O 0.4799 0.7500 0.5642
O 0.5201 0.2500 0.4358
O 0.5587 0.2500 0.8046
O 0.9559 0.0265 0.6773
O 0.4413 0.7500 0.1954
Ge 0.7372 0.2500 0.6551
O 0.9559 0.4735 0.6773
Tl 0.1996 0.2500 0.5448
Tl 0.8004 0.7500 0.4552